VASP calculation (SCAN) on a PBEsol-optimized structure of ZnOsBr.

```
3
Lattice="0.000 2.650 6.682 1.433 0.000 6.682 1.433 2.650 0.000" Properties=species:S:1:pos:R:3 pbc="T T T"
Zn 0.000 0.000 0.000
Os 1.433 2.650 4.604
Br 1.433 2.650 9.195
```

Results
* total DFT energy (no corrections): -34.0318 eV per atom
* E_form (uncorrected): 0.9197 eV/atom
* density: 11.0 g cm⁻³
* total moment: 0.0 μB per formula unit

VASP calculation (SCAN) on a PBEsol-optimized structure of ZnOs2Br.

```
4
Lattice="1.383 -2.438 0.000 1.383 2.438 0.000 0.000 0.000 9.045" Properties=species:S:1:pos:R:3 pbc="T T T"
Zn 0.000 0.000 0.000
Os 1.383 0.000 2.162
Os 1.383 0.000 6.883
Br 0.000 0.000 4.523
```

Results
* total DFT energy (no corrections): -43.0669 eV per atom
* E_form (uncorrected): 1.1167 eV/atom
* density: 14.3 g cm⁻³
* total moment: 0.0 μB per formula unit